Compound: Pm5Te4Rh
Source: Alexandria
Functional: PBE
Structure: relaxed

POSCAR file:
```
Pm5Te4Rh
1.0
-0.684 -0.455 -4.310
-3.939 -1.754 0.811
-4.191 15.484 1.263
Pm Rh Te
5 1 4
Cartesian
-5.024 4.894 -1.953
-7.717 10.849 -2.154
-1.097 2.426 -0.082
-3.790 8.381 -0.284
-2.312 -1.105 -1.750
0.000 0.000 0.000
-5.155 11.401 -0.386
-6.332 7.787 -2.051
-2.481 5.488 -0.186
-3.658 1.874 -1.850
```

**Raw formation energy**: -1.249 eV/atom
**Total magnetic moment**: 0.0 μB/cell
**Space-group type**: No. 139
**E_tot**: -5.6158 eV per atom